# K2Al2O3F2 PBE optimized geometry
# ΔE_f (raw) in eV per atom: -2.89
data_K2Al2O3F2
_chemical_formula_sum 'K8 Al8 O12 F8'
_symmetry_space_group_name_H-M 'C 1 2/m 1'
_symmetry_Int_Tables_number 12
_cell_length_a 11.3819
_cell_length_b 8.2708
_cell_length_c 6.2133
_cell_angle_alpha 90.00
_cell_angle_beta 91.58
_cell_angle_gamma 90.00
loop_
_symmetry_equiv_pos_as_xyz
'x,y,z'
'-x,-y,-z'
'-x,y,-z'
'x,-y,z'
'x+1/2,y+1/2,z'
'-x+1/2,-y+1/2,-z'
'-x+1/2,y+1/2,-z'
'x+1/2,-y+1/2,z'
loop_
_atom_site_label
_atom_site_type_symbol
_atom_site_fract_x
_atom_site_fract_y
_atom_site_fract_z
_atom_site_occupancy
K1 K 0.0989 0.0000 0.2421 1
K2 K 0.1628 0.5000 0.1631 1
Al1 Al 0.1257 0.2997 0.6436 1
O1 O 0.0000 0.2379 0.5000 1
O2 O 0.1248 0.5000 0.7326 1
O3 O 0.2500 0.2500 0.5000 1
F1 F 0.1309 0.1850 0.8832 1